! KMoOs (SCAN, PBEsol geometry); values from VASP
! Formation enthalpy at 0 K: 988 meV per atom
! Total moment: 0.00 μB per formula unit
! Symmetry: Fmm2 (42)
&SYSTEM
  ibrav = 0, nat = 3, ntyp = 3
/
ATOMIC_SPECIES
K 39.10 K.upf
Mo 95.94 Mo.upf
Os 190.23 Os.upf
ATOMIC_POSITIONS angstrom
K 0.031 0.011 0.099
Mo 1.508 0.553 4.808
Os -0.518 0.191 3.249
CELL_PARAMETERS angstrom
-1.666 2.146 0.275
-1.124 -2.407 0.630
3.811 1.017 7.251